Material: K3SrF
Method: DFT, PBE-GGA
State: relaxed

As for the formation energy (no corrections): -0.828 eV/atom. The energy relative to the lowest polymorph listed for this composition comes out at 0 meV per atom. Its space group is No. 221. As for the theoretical density: 1.65 g/cm³.

Lattice parameters (Å, degrees): 6.080 6.080 6.080 90.00 90.00 90.00
Positions (direct):
1 K 0.000 0.500 0.000
2 K 0.000 0.000 0.500
3 Sr 0.500 0.500 0.500
4 F 0.000 0.000 0.000
5 K 0.500 0.000 0.000